# AcPr2H PBE-GGA optimized geometry
data_AcPr2H
_chemical_formula_sum 'Ac1 Pr2 H1'
_cell_length_a 3.538
_cell_length_b 3.538
_cell_length_c 9.083
_cell_angle_alpha 90.00
_cell_angle_beta 90.00
_cell_angle_gamma 90.00
_space_group_name_H-M_alt 'P 4/m m m'
_space_group_IT_number 123
_space_group_name_Hall '-P 4 2'
loop_
_atom_site_label
_atom_site_fract_x
_atom_site_fract_y
_atom_site_fract_z
Ac1 0.000 0.000 0.000
Pr1 0.500 0.500 0.321
H1 0.000 0.000 0.500
# * excess energy over the best structure of this formula in the dataset: 1.17 eV/f.u.